Computed, not measured: CsFeAsBr2 after structural relaxation at the PBE level of DFT.

Summary:
Space group ... No. 123
Electronic total energy ... -3.901 eV per atom
Formation energy from raw total energies ... -42.3 kJ per mole of atoms

The structure in CIF format:
```
data_CsFeAsBr2
_space_group_name_H-M_alt 'P 1'
_space_group_IT_number 1
_cell_length_a 5.675
_cell_length_b 5.675
_cell_length_c 4.586
_cell_angle_alpha 90.00
_cell_angle_beta 90.00
_cell_angle_gamma 90.00
loop_
_space_group_symop_operation_xyz
'x,y,z'
loop_
_atom_site_label
_atom_site_type_symbol
_atom_site_fract_x
_atom_site_fract_y
_atom_site_fract_z
Cs1 Cs 0.000 0.000 0.000
Fe1 Fe 0.500 0.500 0.500
As1 As 0.500 0.500 0.000
Br1 Br 0.000 0.500 0.500
Br2 Br 0.500 0.000 0.500
```